An optimized crystal structure of Nd4HoSc2, computed with PBE.

Results
Raw total energy (eV per cell): -70.4
Calculated formation energy (eV per atom): 0.16
D(E_F) (states/eV per cell): 24.2
Space group: P2_1/m, No. 11

a = 5.564 Å, b = 6.890 Å, c = 11.931 Å
α = 90.00°, β = 103.49°, γ = 90.00°
Positions (direct):
Nd (0.066, 0.250, 0.136)
Nd (0.218, 0.750, 0.436)
Nd (0.356, 0.503, 0.712)
Nd (0.356, 0.997, 0.712)
Nd (0.644, 0.003, 0.288)
Nd (0.644, 0.497, 0.288)
Nd (0.782, 0.250, 0.564)
Nd (0.934, 0.750, 0.864)
Ho (0.078, 0.750, 0.153)
Ho (0.922, 0.250, 0.847)
Sc (0.209, 0.250, 0.417)
Sc (0.496, 0.250, 0.996)
Sc (0.504, 0.750, 0.004)
Sc (0.791, 0.750, 0.583)

---

An optimized crystal structure of Nd5Ho6Sc, computed with PBE.

Results
Raw total energy (eV per cell): -57.3
Calculated formation energy (eV per atom): 0.03
D(E_F) (states/eV per cell): 17.2
Space group: Immm, No. 71

a = 9.448 Å, b = 9.448 Å, c = 9.448 Å
α = 148.96°, β = 115.64°, γ = 73.17°
Positions (direct):
Nd (0.000, 0.000, 0.000)
Nd (0.166, 0.666, 0.500)
Nd (0.337, 0.337, 0.000)
Nd (0.663, 0.663, 0.000)
Nd (0.834, 0.334, 0.500)
Ho (0.088, 0.835, 0.253)
Ho (0.255, 0.500, 0.755)
Ho (0.418, 0.165, 0.253)
Ho (0.582, 0.835, 0.747)
Ho (0.745, 0.500, 0.245)
Ho (0.912, 0.165, 0.747)
Sc (0.500, 0.000, 0.500)

---

An optimized crystal structure of Nd3Ho6Sc2, computed with PBE.

Results
Raw total energy (eV per cell): -45.4
Calculated formation energy (eV per atom): 0.82
D(E_F) (states/eV per cell): 20.3
Space group: R-3m, No. 166

a = 23.292 Å, b = 23.292 Å, c = 23.292 Å
α = 11.25°, β = 11.25°, γ = 11.25°
Positions (direct):
Nd (0.000, 0.000, 0.000)
Nd (0.247, 0.247, 0.247)
Nd (0.753, 0.753, 0.753)
Ho (0.119, 0.119, 0.119)
Ho (0.174, 0.174, 0.174)
Ho (0.298, 0.298, 0.298)
Ho (0.702, 0.702, 0.702)
Ho (0.826, 0.826, 0.826)
Ho (0.881, 0.881, 0.881)
Sc (0.475, 0.475, 0.475)
Sc (0.525, 0.525, 0.525)